! TaInTc3 PBE optimized geometry; values from VASP
&SYSTEM
  ibrav = 0, nat = 5, ntyp = 3
/
ATOMIC_SPECIES
Ta 180.95 Ta.upf
In 114.82 In.upf
Tc 98.00 Tc.upf
CELL_PARAMETERS angstrom
4.7178 0.0000 0.0000
0.0000 4.7178 0.0000
0.0000 0.0000 4.7178
ATOMIC_POSITIONS crystal
Ta 0.0000 0.0000 0.0000
In 0.5000 0.5000 0.5000
Tc 0.0000 0.5000 0.5000
Tc 0.5000 0.0000 0.5000
Tc 0.5000 0.5000 0.0000
! **Polymorph energy (0 for the lowest one)**: 3.87 eV per formula unit
! **ΔE_f**: 2.280 eV per atom
! **Space-group type**: Pm-3m



! TaIn3Tc PBE optimized geometry; values from VASP
&SYSTEM
  ibrav = 0, nat = 5, ntyp = 3
/
ATOMIC_SPECIES
Ta 180.95 Ta.upf
In 114.82 In.upf
Tc 98.00 Tc.upf
CELL_PARAMETERS angstrom
5.0621 0.0000 0.0000
0.0000 5.0621 0.0000
0.0000 0.0000 5.0621
ATOMIC_POSITIONS crystal
Ta 0.0000 0.0000 0.0000
In 0.0000 0.5000 0.5000
In 0.5000 0.0000 0.5000
In 0.5000 0.5000 0.0000
Tc 0.5000 0.5000 0.5000
! **Polymorph energy (0 for the lowest one)**: 0.00 eV per formula unit
! **ΔE_f**: 1.301 eV per atom
! **Space-group type**: Pm-3m



! TaInTe PBE optimized geometry; values from VASP
&SYSTEM
  ibrav = 0, nat = 3, ntyp = 3
/
ATOMIC_SPECIES
Ta 180.95 Ta.upf
In 114.82 In.upf
Te 127.60 Te.upf
CELL_PARAMETERS angstrom
-1.7334 1.7334 5.7045
1.7334 -1.7334 5.7045
1.7334 1.7334 -5.7045
ATOMIC_POSITIONS crystal
Ta 0.0000 0.0000 0.0000
In 0.3362 0.3362 0.0000
Te 0.6259 0.6259 0.0000
! **Polymorph energy (0 for the lowest one)**: 0.24 eV per formula unit
! **ΔE_f (raw)**: 0.384 eV per formula unit
! **Space-group type**: I4mm



! Ta3InTe PBE optimized geometry; values from VASP
&SYSTEM
  ibrav = 0, nat = 5, ntyp = 3
/
ATOMIC_SPECIES
Ta 180.95 Ta.upf
In 114.82 In.upf
Te 127.60 Te.upf
CELL_PARAMETERS angstrom
5.0144 0.0000 0.0000
0.0000 5.0144 0.0000
0.0000 0.0000 5.0144
ATOMIC_POSITIONS crystal
Ta 0.0000 0.0000 0.5000
Ta 0.0000 0.5000 0.0000
Ta 0.5000 0.0000 0.0000
In 0.5000 0.5000 0.5000
Te 0.0000 0.0000 0.0000
! **Polymorph energy (0 for the lowest one)**: 0.00 eV per formula unit
! **ΔE_f (raw)**: 8.220 eV per formula unit
! **Space-group type**: Pm-3m



! TaIn4Te PBE optimized geometry; values from VASP
&SYSTEM
  ibrav = 0, nat = 6, ntyp = 3
/
ATOMIC_SPECIES
Ta 180.95 Ta.upf
In 114.82 In.upf
Te 127.60 Te.upf
CELL_PARAMETERS angstrom
0.0000 4.1670 4.1670
4.1670 0.0000 4.1670
4.1670 4.1670 0.0000
ATOMIC_POSITIONS crystal
Ta 0.0000 0.0000 0.0000
In 0.3745 0.3745 0.3745
In 0.3745 0.3745 0.8766
In 0.3745 0.8766 0.3745
In 0.8766 0.3745 0.3745
Te 0.7500 0.7500 0.7500
! **ΔE_f (raw)**: 3.440 eV per formula unit
! **Space-group type**: F-43m



! Ta2InTe PBE optimized geometry; values from VASP
&SYSTEM
  ibrav = 0, nat = 4, ntyp = 3
/
ATOMIC_SPECIES
Ta 180.95 Ta.upf
In 114.82 In.upf
Te 127.60 Te.upf
CELL_PARAMETERS angstrom
3.1797 0.0000 0.0000
0.0000 5.0345 0.0000
-1.5749 0.0000 5.3123
ATOMIC_POSITIONS crystal
Ta 0.0000 0.0000 0.0000
Ta 0.3886 0.5000 0.7846
In 0.7366 0.0000 0.4838
Te 0.1047 0.5000 0.2196
! **Polymorph energy (0 for the lowest one)**: 0.97 eV per formula unit
! **ΔE_f (raw)**: 1.227 eV per formula unit
! **Space-group type**: Pm



! Ta2InTe PBE optimized geometry; values from VASP
&SYSTEM
  ibrav = 0, nat = 4, ntyp = 3
/
ATOMIC_SPECIES
Ta 180.95 Ta.upf
In 114.82 In.upf
Te 127.60 Te.upf
CELL_PARAMETERS angstrom
4.8476 -1.6979 0.0000
4.8476 1.6979 0.0000
-0.6118 0.0000 5.0183
ATOMIC_POSITIONS crystal
Ta 0.2472 0.2472 0.2421
Ta 0.7528 0.7528 0.7579
In 0.5000 0.5000 0.0000
Te 0.0000 0.0000 0.5000
! **Polymorph energy (0 for the lowest one)**: 1.16 eV per formula unit
! **ΔE_f (raw)**: 1.414 eV per formula unit
! **Space-group type**: C2/m



! TaInTe4 PBE optimized geometry; values from VASP
&SYSTEM
  ibrav = 0, nat = 6, ntyp = 3
/
ATOMIC_SPECIES
Ta 180.95 Ta.upf
In 114.82 In.upf
Te 127.60 Te.upf
CELL_PARAMETERS angstrom
0.0000 4.4532 4.4532
4.4532 0.0000 4.4532
4.4532 4.4532 0.0000
ATOMIC_POSITIONS crystal
Ta 0.0000 0.0000 0.0000
In 0.2500 0.2500 0.2500
Te 0.1218 0.6261 0.6261
Te 0.6261 0.1218 0.6261
Te 0.6261 0.6261 0.1218
Te 0.6261 0.6261 0.6261
! **Polymorph energy (0 for the lowest one)**: 7.06 eV per formula unit
! **ΔE_f (raw)**: 5.815 eV per formula unit
! **Space-group type**: F-43m



! TaInTe PBE optimized geometry; values from VASP
&SYSTEM
  ibrav = 0, nat = 18, ntyp = 3
/
ATOMIC_SPECIES
Ta 180.95 Ta.upf
In 114.82 In.upf
Te 127.60 Te.upf
CELL_PARAMETERS angstrom
8.1469 -2.6673 0.0000
8.1469 2.6673 0.0000
-6.8442 0.0000 10.3714
ATOMIC_POSITIONS crystal
Ta 0.0244 0.9756 0.5000
Ta 0.3430 0.8779 0.3412
Ta 0.3948 0.5238 0.3431
Ta 0.5238 0.3948 0.8431
Ta 0.8779 0.3430 0.8412
Ta 0.9756 0.0244 0.0000
In 0.1401 0.2653 0.2351
In 0.1423 0.4336 0.0808
In 0.2653 0.1401 0.7351
In 0.4286 0.8615 0.9633
In 0.4336 0.1423 0.5808
In 0.8615 0.4286 0.4633
Te 0.4824 0.5197 0.0954
Te 0.5197 0.4824 0.5954
Te 0.7420 0.8389 0.3556
Te 0.8389 0.7420 0.8556
Te 0.8868 0.9958 0.2364
Te 0.9958 0.8868 0.7364
! **Polymorph energy (0 for the lowest one)**: 0.41 eV per formula unit
! **ΔE_f (raw)**: 0.557 eV per formula unit
! **Space-group type**: Cc



! TaInTe PBE optimized geometry; values from VASP
&SYSTEM
  ibrav = 0, nat = 3, ntyp = 3
/
ATOMIC_SPECIES
Ta 180.95 Ta.upf
In 114.82 In.upf
Te 127.60 Te.upf
CELL_PARAMETERS angstrom
0.0000 2.6031 7.4321
1.8778 0.0000 7.4321
1.8778 2.6031 0.0000
ATOMIC_POSITIONS crystal
Ta 0.0000 0.0000 0.0000
In 0.6534 0.6534 0.3466
Te 0.3630 0.3630 0.6370
! **Polymorph energy (0 for the lowest one)**: 0.80 eV per formula unit
! **ΔE_f (raw)**: 0.943 eV per formula unit
! **Space-group type**: Fmm2



! Ta2InTe PBE optimized geometry; values from VASP
&SYSTEM
  ibrav = 0, nat = 4, ntyp = 3
/
ATOMIC_SPECIES
Ta 180.95 Ta.upf
In 114.82 In.upf
Te 127.60 Te.upf
CELL_PARAMETERS angstrom
0.0000 3.4132 3.4132
3.4132 0.0000 3.4132
3.4132 3.4132 0.0000
ATOMIC_POSITIONS crystal
Ta 0.2500 0.2500 0.2500
Ta 0.7500 0.7500 0.7500
In 0.0000 0.0000 0.0000
Te 0.5000 0.5000 0.5000
! **Polymorph energy (0 for the lowest one)**: 1.44 eV per formula unit
! **ΔE_f (raw)**: 1.694 eV per formula unit
! **Space-group type**: Fm-3m



! TaInTe PBE optimized geometry; values from VASP
&SYSTEM
  ibrav = 0, nat = 3, ntyp = 3
/
ATOMIC_SPECIES
Ta 180.95 Ta.upf
In 114.82 In.upf
Te 127.60 Te.upf
CELL_PARAMETERS angstrom
3.4432 0.0000 0.0000
-1.7216 2.9819 0.0000
0.0000 0.0000 6.9125
ATOMIC_POSITIONS crystal
Ta 0.0000 0.0000 0.0000
In 0.3333 0.6667 0.6816
Te 0.6667 0.3333 0.2763
! **Polymorph energy (0 for the lowest one)**: 0.00 eV per formula unit
! **ΔE_f (raw)**: 0.147 eV per formula unit
! **Space-group type**: P3m1



| no. | total energy (Ry per atom) |
| --- | --- |
| 1 | -0.50401 |
| 2 | -0.35176 |
| 3 | -0.42504 |
| 4 | -0.48830 |
| 5 | -0.27572 |
| 6 | -0.52108 |
| 7 | -0.51765 |
| 8 | -0.26144 |
| 9 | -0.42079 |
| 10 | -0.41135 |
| 11 | -0.51250 |
| 12 | -0.43083 |